[1]
# VPd2S4 (PBE-GGA, relaxed)
data_VPd2S4
_chemical_formula_sum 'V2 Pd4 S8'
_symmetry_space_group_name_H-M 'I 4/m m m'
_symmetry_Int_Tables_number 139
_symmetry_space_group_name_Hall '-I 4 2'
_cell_length_a 4.7535
_cell_length_b 4.7535
_cell_length_c 11.5886
_cell_angle_alpha 90.00
_cell_angle_beta 90.00
_cell_angle_gamma 90.00
loop_
_atom_site_label
_atom_site_fract_x
_atom_site_fract_y
_atom_site_fract_z
V1 0.0000 0.0000 0.0000
Pd1 0.0000 0.0000 0.3872
S1 0.0000 0.0000 0.1908
S2 0.0000 0.5000 0.0000
# polymorph energy (0 for the lowest one)	394	meV per atom
# M_tot	0.74	μB per cell
# calculated density	5.0	g/cm³
# uncorrected formation energy	20	meV/atom
# crystal system	tetragonal

=====

[2]
# V2PdS2 (PBE-GGA, relaxed)
data_V2PdS2
_chemical_formula_sum 'V4 Pd2 S4'
_symmetry_space_group_name_H-M 'P 4/m b m'
_symmetry_Int_Tables_number 127
_symmetry_space_group_name_Hall '-P 4 2ab'
_cell_length_a 6.7438
_cell_length_b 6.7438
_cell_length_c 2.9546
_cell_angle_alpha 90.00
_cell_angle_beta 90.00
_cell_angle_gamma 90.00
loop_
_atom_site_label
_atom_site_fract_x
_atom_site_fract_y
_atom_site_fract_z
V1 0.1443 0.3557 0.0000
Pd1 0.0000 0.0000 0.5000
S1 0.1493 0.6493 0.5000
# polymorph energy (0 for the lowest one)	0	meV per atom
# M_tot	2.47	μB per cell
# calculated density	6.7	g/cm³
# uncorrected formation energy	-454	meV/atom
# crystal system	tetragonal

=====

[3]
# V2PdS4 (PBE-GGA, relaxed)
data_V2PdS4
_chemical_formula_sum 'V12 Pd6 S24'
_symmetry_space_group_name_H-M 'R 3 m'
_symmetry_Int_Tables_number 160
_symmetry_space_group_name_Hall 'R 3 -2"'
_cell_length_a 6.9854
_cell_length_b 6.9854
_cell_length_c 17.4557
_cell_angle_alpha 90.00
_cell_angle_beta 90.00
_cell_angle_gamma 120.00
loop_
_atom_site_label
_atom_site_fract_x
_atom_site_fract_y
_atom_site_fract_z
V1 0.0000 0.0000 0.0000
V2 0.0211 0.5106 0.4769
Pd1 0.0000 0.0000 0.3447
Pd2 0.0000 0.0000 0.5974
S1 0.0000 0.0000 0.2116
S2 0.0000 0.0000 0.7304
S3 0.0101 0.5051 0.7386
S4 0.1876 0.3753 0.5651
# M_tot	12.97	μB per cell
# calculated density	4.5	g/cm³
# uncorrected formation energy	-713	meV/atom
# crystal system	trigonal

=====

[4]
# VPd3S (PBE-GGA, relaxed)
data_VPd3S
_chemical_formula_sum 'V1 Pd3 S1'
_symmetry_space_group_name_H-M 'P m -3 m'
_symmetry_Int_Tables_number 221
_symmetry_space_group_name_Hall '-P 4 2 3'
_cell_length_a 4.6204
_cell_length_b 4.6204
_cell_length_c 4.6204
_cell_angle_alpha 90.00
_cell_angle_beta 90.00
_cell_angle_gamma 90.00
loop_
_atom_site_label
_atom_site_fract_x
_atom_site_fract_y
_atom_site_fract_z
V1 0.0000 0.0000 0.0000
Pd1 0.0000 0.0000 0.5000
S1 0.5000 0.5000 0.5000
# polymorph energy (0 for the lowest one)	745	meV per atom
# M_tot	1.44	μB per cell
# calculated density	6.8	g/cm³
# uncorrected formation energy	917	meV/atom
# crystal system	cubic

=====

[5]
# VPd3S4 (PBE-GGA, relaxed)
data_VPd3S4
_chemical_formula_sum 'V2 Pd6 S8'
_symmetry_space_group_name_H-M 'P m n 21'
_symmetry_Int_Tables_number 31
_symmetry_space_group_name_Hall 'P 2ac -2'
_cell_length_a 7.2195
_cell_length_b 6.4816
_cell_length_c 6.3034
_cell_angle_alpha 90.00
_cell_angle_beta 90.00
_cell_angle_gamma 90.00
loop_
_atom_site_label
_atom_site_fract_x
_atom_site_fract_y
_atom_site_fract_z
V1 0.0000 0.1568 0.0000
Pd1 0.0000 0.8395 0.5934
Pd2 0.2022 0.7119 0.9772
S1 0.0000 0.2017 0.6492
S2 0.0000 0.8704 0.2136
S3 0.2199 0.3567 0.1210
# M_tot	0.00	μB per cell
# calculated density	5.6	g/cm³
# uncorrected formation energy	-425	meV/atom
# crystal system	orthorhombic

=====

[6]
# VPd2S4 (PBE-GGA, relaxed)
data_VPd2S4
_chemical_formula_sum 'V4 Pd8 S16'
_symmetry_space_group_name_H-M 'C m c m'
_symmetry_Int_Tables_number 63
_symmetry_space_group_name_Hall '-C 2c 2'
_cell_length_a 3.2530
_cell_length_b 12.4044
_cell_length_c 11.3913
_cell_angle_alpha 90.00
_cell_angle_beta 90.00
_cell_angle_gamma 90.00
loop_
_atom_site_label
_atom_site_fract_x
_atom_site_fract_y
_atom_site_fract_z
V1 0.0000 0.1179 0.2500
Pd1 0.0000 0.3692 0.0754
S1 0.0000 0.0000 0.0000
S2 0.0000 0.2962 0.6210
S3 0.0000 0.4740 0.2500
# polymorph energy (0 for the lowest one)	0	meV per atom
# M_tot	3.56	μB per cell
# calculated density	5.7	g/cm³
# uncorrected formation energy	-374	meV/atom
# crystal system	orthorhombic

=====

[7]
# V3PdS8 (PBE-GGA, relaxed)
data_V3PdS8
_chemical_formula_sum 'V6 Pd2 S16'
_symmetry_space_group_name_H-M 'P 63 m c'
_symmetry_Int_Tables_number 186
_symmetry_space_group_name_Hall 'P 6c -2c'
_cell_length_a 6.7648
_cell_length_b 6.7648
_cell_length_c 11.4482
_cell_angle_alpha 90.00
_cell_angle_beta 90.00
_cell_angle_gamma 120.00
loop_
_atom_site_label
_atom_site_fract_x
_atom_site_fract_y
_atom_site_fract_z
V1 0.1835 0.3671 0.0000
Pd1 0.3333 0.6667 0.2780
S1 0.0000 0.0000 0.0998
S2 0.0291 0.5145 0.1377
S3 0.1695 0.3390 0.4060
S4 0.3333 0.6667 0.8667
# M_tot	6.08	μB per cell
# calculated density	3.8	g/cm³
# uncorrected formation energy	-622	meV/atom
# crystal system	hexagonal

=====

[8]
# V2PdS (PBE-GGA, relaxed)
data_V2PdS
_chemical_formula_sum 'V6 Pd3 S3'
_symmetry_space_group_name_H-M 'R -3 m'
_symmetry_Int_Tables_number 166
_symmetry_space_group_name_Hall '-R 3 2"'
_cell_length_a 4.1121
_cell_length_b 4.1121
_cell_length_c 17.8503
_cell_angle_alpha 90.00
_cell_angle_beta 90.00
_cell_angle_gamma 120.00
loop_
_atom_site_label
_atom_site_fract_x
_atom_site_fract_y
_atom_site_fract_z
V1 0.0000 0.0000 0.1216
Pd1 0.0000 0.0000 0.5000
S1 0.0000 0.0000 0.0000
# M_tot	1.32	μB per cell
# calculated density	4.6	g/cm³
# uncorrected formation energy	316	meV/atom
# crystal system	trigonal

=====

[9]
# VPd3S (PBE-GGA, relaxed)
data_VPd3S
_chemical_formula_sum 'V1 Pd3 S1'
_symmetry_space_group_name_H-M 'P m -3 m'
_symmetry_Int_Tables_number 221
_symmetry_space_group_name_Hall '-P 4 2 3'
_cell_length_a 4.4781
_cell_length_b 4.4781
_cell_length_c 4.4781
_cell_angle_alpha 90.00
_cell_angle_beta 90.00
_cell_angle_gamma 90.00
loop_
_atom_site_label
_atom_site_fract_x
_atom_site_fract_y
_atom_site_fract_z
V1 0.0000 0.0000 0.0000
Pd1 0.0000 0.5000 0.5000
S1 0.5000 0.5000 0.5000
# polymorph energy (0 for the lowest one)	0	meV per atom
# M_tot	3.18	μB per cell
# calculated density	7.4	g/cm³
# uncorrected formation energy	172	meV/atom
# crystal system	cubic

=====

[10]
# V3PdS (PBE-GGA, relaxed)
data_V3PdS
_chemical_formula_sum 'V3 Pd1 S1'
_symmetry_space_group_name_H-M 'P m -3 m'
_symmetry_Int_Tables_number 221
_symmetry_space_group_name_Hall '-P 4 2 3'
_cell_length_a 4.2807
_cell_length_b 4.2807
_cell_length_c 4.2807
_cell_angle_alpha 90.00
_cell_angle_beta 90.00
_cell_angle_gamma 90.00
loop_
_atom_site_label
_atom_site_fract_x
_atom_site_fract_y
_atom_site_fract_z
V1 0.0000 0.0000 0.5000
Pd1 0.5000 0.5000 0.5000
S1 0.0000 0.0000 0.0000
# polymorph energy (0 for the lowest one)	0	meV per atom
# M_tot	3.47	μB per cell
# calculated density	6.2	g/cm³
# uncorrected formation energy	57	meV/atom
# crystal system	cubic

=====

[11]
# VPd2WS (PBE-GGA, relaxed)
data_VPd2WS
_chemical_formula_sum 'V1 Pd2 W1 S1'
_symmetry_space_group_name_H-M 'P 4/m m m'
_symmetry_Int_Tables_number 123
_symmetry_space_group_name_Hall '-P 4 2'
_cell_length_a 4.8883
_cell_length_b 4.8883
_cell_length_c 4.4452
_cell_angle_alpha 90.00
_cell_angle_beta 90.00
_cell_angle_gamma 90.00
loop_
_atom_site_label
_atom_site_fract_x
_atom_site_fract_y
_atom_site_fract_z
V1 0.0000 0.0000 0.0000
Pd1 0.0000 0.5000 0.5000
W1 0.5000 0.5000 0.5000
S1 0.5000 0.5000 0.0000
# M_tot	0.00	μB per cell
# calculated density	7.5	g/cm³
# uncorrected formation energy	1101	meV/atom
# crystal system	tetragonal

=====

[12]
# VZnPd2S (PBE-GGA, relaxed)
data_VZnPd2S
_chemical_formula_sum 'V1 Zn1 Pd2 S1'
_symmetry_space_group_name_H-M 'P 4/m m m'
_symmetry_Int_Tables_number 123
_symmetry_space_group_name_Hall '-P 4 2'
_cell_length_a 4.5578
_cell_length_b 4.5578
_cell_length_c 4.7811
_cell_angle_alpha 90.00
_cell_angle_beta 90.00
_cell_angle_gamma 90.00
loop_
_atom_site_label
_atom_site_fract_x
_atom_site_fract_y
_atom_site_fract_z
V1 0.0000 0.0000 0.0000
Zn1 0.0000 0.0000 0.5000
Pd1 0.0000 0.5000 0.5000
S1 0.5000 0.5000 0.0000
# M_tot	0.42	μB per cell
# calculated density	6.0	g/cm³
# uncorrected formation energy	966	meV/atom
# crystal system	tetragonal